# 1
Below is crystalline Si at its relaxed geometry, with properties calculated at the GGA-PBE level. Values from VASP.

The structure in Quantum ESPRESSO input format:
```
&SYSTEM
  ibrav = 0, nat = 4, ntyp = 1
/
ATOMIC_SPECIES
Si 28.09 Si.upf
CELL_PARAMETERS angstrom
0.000 2.661 4.715
2.447 0.000 4.715
2.447 2.661 0.000
ATOMIC_POSITIONS crystal
Si 0.222 0.222 0.778
Si 0.271 0.729 0.271
Si 0.729 0.271 0.729
Si 0.778 0.778 0.222
```

Results
uncorrected formation energy	0.307	eV per atom
E above lowest polymorph	0.307	eV per atom
density	3.039	g/cm3
energy	-20.46	eV for the cell shown



# 2
Below is crystalline Si at its relaxed geometry, with properties calculated at the GGA-PBE level. Values from VASP.

The structure in Quantum ESPRESSO input format:
```
&SYSTEM
  ibrav = 0, nat = 2, ntyp = 1
/
ATOMIC_SPECIES
Si 28.09 Si.upf
CELL_PARAMETERS angstrom
2.679 0.000 0.000
-1.339 2.320 0.000
0.000 0.000 4.623
ATOMIC_POSITIONS crystal
Si 0.333 0.667 0.250
Si 0.667 0.333 0.750
```

Results
uncorrected formation energy	0.495	eV per atom
E above lowest polymorph	0.495	eV per atom
density	3.247	g/cm3
energy	-9.86	eV for the cell shown



# 3
Below is crystalline Si at its relaxed geometry, with properties calculated at the GGA-PBE level. Values from VASP.

The structure in Quantum ESPRESSO input format:
```
&SYSTEM
  ibrav = 0, nat = 46, ntyp = 1
/
ATOMIC_SPECIES
Si 28.09 Si.upf
CELL_PARAMETERS angstrom
8.406 -6.429 0.000
8.406 6.429 0.000
0.000 0.000 10.023
ATOMIC_POSITIONS crystal
Si 0.052 0.301 0.627
Si 0.052 0.301 0.873
Si 0.079 0.921 0.631
Si 0.079 0.921 0.869
Si 0.101 0.101 0.000
Si 0.101 0.101 0.500
Si 0.168 0.594 0.059
Si 0.168 0.594 0.441
Si 0.226 0.389 0.559
Si 0.226 0.389 0.941
Si 0.252 0.748 0.560
Si 0.252 0.748 0.940
Si 0.301 0.052 0.127
Si 0.301 0.052 0.373
Si 0.301 0.557 0.250
Si 0.339 0.429 0.750
Si 0.355 0.645 0.750
Si 0.389 0.226 0.059
Si 0.389 0.226 0.441
Si 0.406 0.832 0.059
Si 0.406 0.832 0.441
Si 0.429 0.339 0.250
Si 0.443 0.699 0.250
Si 0.557 0.301 0.750
Si 0.571 0.661 0.750
Si 0.594 0.168 0.559
Si 0.594 0.168 0.941
Si 0.611 0.774 0.559
Si 0.611 0.774 0.941
Si 0.645 0.355 0.250
Si 0.661 0.571 0.250
Si 0.699 0.443 0.750
Si 0.699 0.948 0.627
Si 0.699 0.948 0.873
Si 0.748 0.252 0.060
Si 0.748 0.252 0.440
Si 0.774 0.611 0.059
Si 0.774 0.611 0.441
Si 0.832 0.406 0.559
Si 0.832 0.406 0.941
Si 0.899 0.899 0.000
Si 0.899 0.899 0.500
Si 0.921 0.079 0.131
Si 0.921 0.079 0.369
Si 0.948 0.699 0.127
Si 0.948 0.699 0.373
```

Results
uncorrected formation energy	0.094	eV per atom
E above lowest polymorph	0.094	eV per atom
density	1.980	g/cm3
energy	-245.11	eV for the cell shown



# 4
Below is crystalline Si at its relaxed geometry, with properties calculated at the GGA-PBE level. Values from VASP.

The structure in Quantum ESPRESSO input format:
```
&SYSTEM
  ibrav = 0, nat = 16, ntyp = 1
/
ATOMIC_SPECIES
Si 28.09 Si.upf
CELL_PARAMETERS angstrom
10.829 0.000 0.000
0.000 10.829 0.000
0.000 0.000 3.947
ATOMIC_POSITIONS crystal
Si 0.110 0.390 0.000
Si 0.110 0.610 0.000
Si 0.113 0.268 0.500
Si 0.113 0.732 0.500
Si 0.268 0.113 0.500
Si 0.268 0.887 0.500
Si 0.390 0.110 0.000
Si 0.390 0.890 0.000
Si 0.610 0.110 0.000
Si 0.610 0.890 0.000
Si 0.732 0.113 0.500
Si 0.732 0.887 0.500
Si 0.887 0.268 0.500
Si 0.887 0.732 0.500
Si 0.890 0.390 0.000
Si 0.890 0.610 0.000
```

Results
uncorrected formation energy	0.364	eV per atom
E above lowest polymorph	0.364	eV per atom
density	1.612	g/cm3
energy	-80.95	eV for the cell shown



# 5
Below is crystalline Si at its relaxed geometry, with properties calculated at the GGA-PBE level. Values from VASP.

The structure in Quantum ESPRESSO input format:
```
&SYSTEM
  ibrav = 0, nat = 54, ntyp = 1
/
ATOMIC_SPECIES
Si 28.09 Si.upf
CELL_PARAMETERS angstrom
10.109 0.000 0.000
0.000 10.109 0.000
0.000 0.000 10.109
ATOMIC_POSITIONS crystal
Si 0.000 0.000 0.000
Si 0.000 0.116 0.311
Si 0.000 0.116 0.689
Si 0.000 0.250 0.500
Si 0.000 0.500 0.250
Si 0.000 0.500 0.750
Si 0.000 0.750 0.500
Si 0.000 0.884 0.311
Si 0.000 0.884 0.689
Si 0.116 0.311 0.000
Si 0.116 0.689 0.000
Si 0.183 0.183 0.183
Si 0.183 0.183 0.817
Si 0.183 0.817 0.183
Si 0.183 0.817 0.817
Si 0.189 0.384 0.500
Si 0.189 0.616 0.500
Si 0.250 0.000 0.500
Si 0.250 0.500 0.000
Si 0.311 0.000 0.116
Si 0.311 0.000 0.884
Si 0.317 0.317 0.317
Si 0.317 0.317 0.683
Si 0.317 0.683 0.317
Si 0.317 0.683 0.683
Si 0.384 0.500 0.189
Si 0.384 0.500 0.811
Si 0.500 0.000 0.250
Si 0.500 0.000 0.750
Si 0.500 0.189 0.384
Si 0.500 0.189 0.616
Si 0.500 0.250 0.000
Si 0.500 0.500 0.500
Si 0.500 0.750 0.000
Si 0.500 0.811 0.384
Si 0.500 0.811 0.616
Si 0.616 0.500 0.189
Si 0.616 0.500 0.811
Si 0.683 0.317 0.317
Si 0.683 0.317 0.683
Si 0.683 0.683 0.317
Si 0.683 0.683 0.683
Si 0.689 0.000 0.116
Si 0.689 0.000 0.884
Si 0.750 0.000 0.500
Si 0.750 0.500 0.000
Si 0.811 0.384 0.500
Si 0.811 0.616 0.500
Si 0.817 0.183 0.183
Si 0.817 0.183 0.817
Si 0.817 0.817 0.183
Si 0.817 0.817 0.817
Si 0.884 0.311 0.000
Si 0.884 0.689 0.000
```

Results
uncorrected formation energy	0.426	eV per atom
E above lowest polymorph	0.426	eV per atom
density	2.438	g/cm3
energy	-269.85	eV for the cell shown



# 6
Below is crystalline Si at its relaxed geometry, with properties calculated at the GGA-PBE level. Values from VASP.

The structure in Quantum ESPRESSO input format:
```
&SYSTEM
  ibrav = 0, nat = 4, ntyp = 1
/
ATOMIC_SPECIES
Si 28.09 Si.upf
CELL_PARAMETERS angstrom
-3.342 3.342 1.930
3.342 -3.342 1.930
3.342 3.342 -1.930
ATOMIC_POSITIONS crystal
Si 0.179 0.179 0.357
Si 0.179 0.821 0.000
Si 0.821 0.179 0.000
Si 0.821 0.821 0.643
```

Results
uncorrected formation energy	0.100	eV per atom
E above lowest polymorph	0.100	eV per atom
density	2.163	g/cm3
energy	-21.29	eV for the cell shown



# 7
Below is crystalline Si at its relaxed geometry, with properties calculated at the GGA-PBE level. Values from VASP.

The structure in Quantum ESPRESSO input format:
```
&SYSTEM
  ibrav = 0, nat = 46, ntyp = 1
/
ATOMIC_SPECIES
Si 28.09 Si.upf
CELL_PARAMETERS angstrom
10.224 0.000 0.000
0.000 10.224 0.000
0.000 0.000 10.224
ATOMIC_POSITIONS crystal
Si 0.000 0.117 0.308
Si 0.000 0.117 0.692
Si 0.000 0.250 0.500
Si 0.000 0.750 0.500
Si 0.000 0.883 0.308
Si 0.000 0.883 0.692
Si 0.117 0.308 0.000
Si 0.117 0.692 0.000
Si 0.184 0.184 0.184
Si 0.184 0.184 0.816
Si 0.184 0.816 0.184
Si 0.184 0.816 0.816
Si 0.192 0.383 0.500
Si 0.192 0.617 0.500
Si 0.250 0.500 0.000
Si 0.308 0.000 0.117
Si 0.308 0.000 0.883
Si 0.316 0.316 0.316
Si 0.316 0.316 0.684
Si 0.316 0.684 0.316
Si 0.316 0.684 0.684
Si 0.383 0.500 0.192
Si 0.383 0.500 0.808
Si 0.500 0.000 0.250
Si 0.500 0.000 0.750
Si 0.500 0.192 0.383
Si 0.500 0.192 0.617
Si 0.500 0.808 0.383
Si 0.500 0.808 0.617
Si 0.617 0.500 0.192
Si 0.617 0.500 0.808
Si 0.684 0.316 0.316
Si 0.684 0.316 0.684
Si 0.684 0.684 0.316
Si 0.684 0.684 0.684
Si 0.692 0.000 0.117
Si 0.692 0.000 0.883
Si 0.750 0.500 0.000
Si 0.808 0.383 0.500
Si 0.808 0.617 0.500
Si 0.816 0.184 0.184
Si 0.816 0.184 0.816
Si 0.816 0.816 0.184
Si 0.816 0.816 0.816
Si 0.883 0.308 0.000
Si 0.883 0.692 0.000
```

Results
uncorrected formation energy	0.061	eV per atom
E above lowest polymorph	0.061	eV per atom
density	2.007	g/cm3
energy	-246.65	eV for the cell shown



# 8
Below is crystalline Si at its relaxed geometry, with properties calculated at the GGA-PBE level. Values from VASP.

The structure in Quantum ESPRESSO input format:
```
&SYSTEM
  ibrav = 0, nat = 4, ntyp = 1
/
ATOMIC_SPECIES
Si 28.09 Si.upf
CELL_PARAMETERS angstrom
1.803 -4.865 0.000
1.803 4.865 0.000
0.000 0.000 3.514
ATOMIC_POSITIONS crystal
Si 0.098 0.902 0.750
Si 0.354 0.646 0.750
Si 0.646 0.354 0.250
Si 0.902 0.098 0.250
```

Results
uncorrected formation energy	0.450	eV per atom
E above lowest polymorph	0.450	eV per atom
density	3.027	g/cm3
energy	-19.89	eV for the cell shown



# 9
Below is crystalline Si at its relaxed geometry, with properties calculated at the GGA-PBE level. Values from VASP.

The structure in Quantum ESPRESSO input format:
```
&SYSTEM
  ibrav = 0, nat = 23, ntyp = 1
/
ATOMIC_SPECIES
Si 28.09 Si.upf
CELL_PARAMETERS angstrom
-5.049 5.049 5.049
5.049 -5.049 5.049
5.049 5.049 -5.049
ATOMIC_POSITIONS crystal
Si 0.000 0.000 0.000
Si 0.000 0.000 0.271
Si 0.000 0.271 0.000
Si 0.000 0.272 0.441
Si 0.000 0.441 0.272
Si 0.169 0.728 0.728
Si 0.250 0.500 0.750
Si 0.250 0.750 0.500
Si 0.271 0.000 0.000
Si 0.272 0.000 0.441
Si 0.272 0.441 0.000
Si 0.441 0.000 0.272
Si 0.441 0.272 0.000
Si 0.500 0.250 0.750
Si 0.500 0.750 0.250
Si 0.559 0.559 0.831
Si 0.559 0.831 0.559
Si 0.728 0.169 0.728
Si 0.728 0.728 0.169
Si 0.729 0.729 0.729
Si 0.750 0.250 0.500
Si 0.750 0.500 0.250
Si 0.831 0.559 0.559
```

Results
uncorrected formation energy	0.080	eV per atom
E above lowest polymorph	0.080	eV per atom
density	2.083	g/cm3
energy	-122.90	eV for the cell shown



# 10
Below is crystalline Si at its relaxed geometry, with properties calculated at the GGA-PBE level. Values from VASP.

The structure in Quantum ESPRESSO input format:
```
&SYSTEM
  ibrav = 0, nat = 4, ntyp = 1
/
ATOMIC_SPECIES
Si 28.09 Si.upf
CELL_PARAMETERS angstrom
2.367 -3.799 0.000
2.367 3.799 0.000
0.000 0.000 3.763
ATOMIC_POSITIONS crystal
Si 0.148 0.852 0.853
Si 0.352 0.648 0.353
Si 0.648 0.352 0.647
Si 0.852 0.148 0.147
```

Results
uncorrected formation energy	0.356	eV per atom
E above lowest polymorph	0.356	eV per atom
density	2.756	g/cm3
energy	-20.27	eV for the cell shown



# 11
Below is crystalline Si at its relaxed geometry, with properties calculated at the GGA-PBE level. Values from VASP.

The structure in Quantum ESPRESSO input format:
```
&SYSTEM
  ibrav = 0, nat = 1, ntyp = 1
/
ATOMIC_SPECIES
Si 28.09 Si.upf
CELL_PARAMETERS angstrom
-1.539 1.539 1.539
1.539 -1.539 1.539
1.539 1.539 -1.539
ATOMIC_POSITIONS crystal
Si 0.000 0.000 0.000
```

Results
uncorrected formation energy	0.523	eV per atom
E above lowest polymorph	0.523	eV per atom
density	3.197	g/cm3
energy	-4.90	eV for the cell shown



# 12
Below is crystalline Si at its relaxed geometry, with properties calculated at the GGA-PBE level. Values from VASP.

The structure in Quantum ESPRESSO input format:
```
&SYSTEM
  ibrav = 0, nat = 8, ntyp = 1
/
ATOMIC_SPECIES
Si 28.09 Si.upf
CELL_PARAMETERS angstrom
-5.038 5.038 1.920
5.038 -5.038 1.920
5.038 5.038 -1.920
ATOMIC_POSITIONS crystal
Si 0.117 0.286 0.402
Si 0.117 0.714 0.831
Si 0.286 0.117 0.402
Si 0.286 0.883 0.169
Si 0.714 0.117 0.831
Si 0.714 0.883 0.598
Si 0.883 0.286 0.169
Si 0.883 0.714 0.598
```

Results
uncorrected formation energy	0.232	eV per atom
E above lowest polymorph	0.232	eV per atom
density	1.914	g/cm3
energy	-41.53	eV for the cell shown



# 13
Below is crystalline Si at its relaxed geometry, with properties calculated at the GGA-PBE level. Values from VASP.

The structure in Quantum ESPRESSO input format:
```
&SYSTEM
  ibrav = 0, nat = 8, ntyp = 1
/
ATOMIC_SPECIES
Si 28.09 Si.upf
CELL_PARAMETERS angstrom
6.951 -1.932 0.000
6.951 1.932 0.000
-0.757 0.000 6.315
ATOMIC_POSITIONS crystal
Si 0.056 0.056 0.374
Si 0.213 0.213 0.557
Si 0.273 0.273 0.914
Si 0.441 0.441 0.846
Si 0.559 0.559 0.154
Si 0.727 0.727 0.086
Si 0.787 0.787 0.443
Si 0.944 0.944 0.626
```

Results
uncorrected formation energy	0.068	eV per atom
E above lowest polymorph	0.068	eV per atom
density	2.199	g/cm3
energy	-42.84	eV for the cell shown



# 14
Below is crystalline Si at its relaxed geometry, with properties calculated at the GGA-PBE level. Values from VASP.

The structure in Quantum ESPRESSO input format:
```
&SYSTEM
  ibrav = 0, nat = 2, ntyp = 1
/
ATOMIC_SPECIES
Si 28.09 Si.upf
CELL_PARAMETERS angstrom
1.762 -1.814 0.000
1.762 1.814 0.000
0.000 0.000 4.971
ATOMIC_POSITIONS crystal
Si 0.072 0.928 0.750
Si 0.928 0.072 0.250
```

Results
uncorrected formation energy	0.335	eV per atom
E above lowest polymorph	0.335	eV per atom
density	2.934	g/cm3
energy	-10.18	eV for the cell shown



# 15
Below is crystalline Si at its relaxed geometry, with properties calculated at the GGA-PBE level. Values from VASP.

The structure in Quantum ESPRESSO input format:
```
&SYSTEM
  ibrav = 0, nat = 1, ntyp = 1
/
ATOMIC_SPECIES
Si 28.09 Si.upf
CELL_PARAMETERS angstrom
2.533 0.000 0.000
0.000 2.533 0.000
0.000 0.000 2.533
ATOMIC_POSITIONS crystal
Si 0.000 0.000 0.000
```

Results
uncorrected formation energy	0.315	eV per atom
E above lowest polymorph	0.315	eV per atom
density	2.870	g/cm3
energy	-5.11	eV for the cell shown



# 16
Below is crystalline Si at its relaxed geometry, with properties calculated at the GGA-PBE level. Values from VASP.

The structure in Quantum ESPRESSO input format:
```
&SYSTEM
  ibrav = 0, nat = 52, ntyp = 1
/
ATOMIC_SPECIES
Si 28.09 Si.upf
CELL_PARAMETERS angstrom
10.137 0.000 0.000
0.000 10.137 0.000
0.000 0.000 10.137
ATOMIC_POSITIONS crystal
Si 0.000 0.116 0.310
Si 0.000 0.116 0.690
Si 0.000 0.250 0.500
Si 0.000 0.500 0.250
Si 0.000 0.500 0.750
Si 0.000 0.750 0.500
Si 0.000 0.884 0.310
Si 0.000 0.884 0.690
Si 0.116 0.310 0.000
Si 0.116 0.690 0.000
Si 0.184 0.184 0.184
Si 0.184 0.184 0.816
Si 0.184 0.816 0.184
Si 0.184 0.816 0.816
Si 0.190 0.384 0.500
Si 0.190 0.616 0.500
Si 0.250 0.000 0.500
Si 0.250 0.500 0.000
Si 0.310 0.000 0.116
Si 0.310 0.000 0.884
Si 0.316 0.316 0.316
Si 0.316 0.316 0.684
Si 0.316 0.684 0.316
Si 0.316 0.684 0.684
Si 0.384 0.500 0.190
Si 0.384 0.500 0.810
Si 0.500 0.000 0.250
Si 0.500 0.000 0.750
Si 0.500 0.190 0.384
Si 0.500 0.190 0.616
Si 0.500 0.250 0.000
Si 0.500 0.750 0.000
Si 0.500 0.810 0.384
Si 0.500 0.810 0.616
Si 0.616 0.500 0.190
Si 0.616 0.500 0.810
Si 0.684 0.316 0.316
Si 0.684 0.316 0.684
Si 0.684 0.684 0.316
Si 0.684 0.684 0.684
Si 0.690 0.000 0.116
Si 0.690 0.000 0.884
Si 0.750 0.000 0.500
Si 0.750 0.500 0.000
Si 0.810 0.384 0.500
Si 0.810 0.616 0.500
Si 0.816 0.184 0.184
Si 0.816 0.184 0.816
Si 0.816 0.816 0.184
Si 0.816 0.816 0.816
Si 0.884 0.310 0.000
Si 0.884 0.690 0.000
```

Results
uncorrected formation energy	0.369	eV per atom
E above lowest polymorph	0.369	eV per atom
density	2.328	g/cm3
energy	-262.83	eV for the cell shown



# 17
Below is crystalline Si at its relaxed geometry, with properties calculated at the GGA-PBE level. Values from VASP.

The structure in Quantum ESPRESSO input format:
```
&SYSTEM
  ibrav = 0, nat = 8, ntyp = 1
/
ATOMIC_SPECIES
Si 28.09 Si.upf
CELL_PARAMETERS angstrom
3.802 0.000 0.000
0.000 7.880 0.000
-1.238 0.000 5.513
ATOMIC_POSITIONS crystal
Si 0.000 0.000 0.000
Si 0.052 0.447 0.212
Si 0.196 0.169 0.368
Si 0.433 0.617 0.694
Si 0.500 0.826 0.000
Si 0.567 0.617 0.306
Si 0.804 0.169 0.632
Si 0.948 0.447 0.788
```

Results
uncorrected formation energy	0.183	eV per atom
E above lowest polymorph	0.183	eV per atom
density	2.259	g/cm3
energy	-41.92	eV for the cell shown